{
  "formula": "TeF",
  "functional": "PBE-GGA",
  "state": "relaxed",
  "space_group": "Pmmn, No. 59",
  "lattice": [[4.556, 0.000, 0.000], [0.000, 5.702, 0.000], [0.000, 0.000, 11.226]],
  "species": ["Te", "F", "F", "F", "F", "Te", "Te", "Te", "F", "F", "Te", "Te"],
  "frac_coords": [[0.000, 0.205, 0.500], [0.000, 0.859, 0.288], [0.500, 0.141, 0.212], [0.000, 0.371, 0.000], [0.500, 0.141, 0.788], [0.000, 0.623, 0.844], [0.500, 0.377, 0.344], [0.500, 0.795, 0.000], [0.500, 0.629, 0.500], [0.000, 0.859, 0.712], [0.500, 0.377, 0.656], [0.000, 0.623, 0.156]]
}

***

{
  "formula": "TeF",
  "functional": "PBE-GGA",
  "state": "relaxed",
  "space_group": "P6_3mc, No. 186",
  "lattice": [[-1.547, -1.689, -2.411], [1.477, -1.635, 2.491], [-7.548, 0.271, 4.655]],
  "species": ["Te", "Te", "F", "F"],
  "frac_coords": [[0.333, 0.667, 0.656], [0.667, 0.333, 0.156], [0.333, 0.667, 0.426], [0.667, 0.333, 0.926]]
}

***

{
  "formula": "TeF4",
  "functional": "PBE-GGA",
  "state": "relaxed",
  "space_group": "P2_12_12_1, No. 19",
  "lattice": [[5.738, 0.000, 0.000], [0.000, 6.036, 0.000], [0.000, 0.000, 10.103]],
  "species": ["Te", "Te", "F", "F", "F", "F", "F", "Te", "F", "F", "F", "F", "F", "F", "F", "F", "F", "Te", "F", "F"],
  "frac_coords": [[0.643, 0.508, 0.381], [0.143, 0.992, 0.619], [0.052, 0.272, 0.750], [0.637, 0.457, 0.744], [0.448, 0.728, 0.250], [0.786, 0.767, 0.459], [0.875, 0.324, 0.466], [0.857, 0.492, 0.881], [0.552, 0.228, 0.250], [0.375, 0.176, 0.534], [0.625, 0.676, 0.966], [0.863, 0.543, 0.244], [0.214, 0.267, 0.041], [0.363, 0.957, 0.756], [0.125, 0.824, 0.034], [0.137, 0.043, 0.256], [0.948, 0.772, 0.750], [0.357, 0.008, 0.119], [0.714, 0.233, 0.959], [0.286, 0.733, 0.541]]
}

***

{
  "formula": "TeF",
  "functional": "PBE-GGA",
  "state": "relaxed",
  "space_group": "P4_2/mnm, No. 136",
  "lattice": [[7.057, 0.000, 0.000], [0.000, 7.057, 0.000], [0.000, 0.000, 4.457]],
  "species": ["Te", "F", "F", "Te", "F", "F", "Te", "Te"],
  "frac_coords": [[0.137, 0.137, 0.000], [0.364, 0.636, 0.000], [0.636, 0.364, 0.000], [0.363, 0.637, 0.500], [0.864, 0.864, 0.500], [0.136, 0.136, 0.500], [0.863, 0.863, 0.000], [0.637, 0.363, 0.500]]
}

***

Number 1: magnetic moment 0.00 μB per formula unit, polymorph energy (0 for the lowest one) 0 meV per atom, total energy -3.628 eV per atom. Number 2: magnetic moment 0.00 μB per formula unit, polymorph energy (0 for the lowest one) 237 meV per atom, total energy -3.391 eV per atom. Number 3: magnetic moment 0.00 μB per formula unit, polymorph energy (0 for the lowest one) 0 meV per atom, total energy -4.258 eV per atom. Number 4: magnetic moment 0.00 μB per formula unit, polymorph energy (0 for the lowest one) 185 meV per atom, total energy -3.443 eV per atom.